Material: CsAgS2O8
Method: DFT, GGA-PBE
State: optimized geometry

Unit cell a=5.0705 b=5.0705 c=9.1762 alpha=90.00 beta=90.00 gamma=120.00
Fractional positions:
Cs 0.0000 0.0000 0.0000
Ag 0.0000 0.0000 0.5000
S 0.3333 0.6667 0.7038
S 0.6667 0.3333 0.2962
O 0.0631 0.3776 0.6523
O 0.3145 0.9369 0.6523
O 0.3333 0.6667 0.8649
O 0.3776 0.3145 0.3477
O 0.6224 0.6855 0.6523
O 0.6667 0.3333 0.1351
O 0.6855 0.0631 0.3477
O 0.9369 0.6224 0.3477

- SG = P-3, No. 147
- formation energy from raw total energies (eV per atom) = -1.181
- M_tot (Bohr magnetons per cell) = 2.01

Material: LaMgOs2
Method: DFT, GGA-PBE
State: optimized geometry

Unit cell a=2.9486 b=4.2016 c=6.3638 alpha=90.00 beta=90.00 gamma=90.00
Fractional positions:
La 0.0000 0.0000 0.0000
Mg 0.0000 0.0000 0.5000
Os 0.5000 0.5000 0.3110
Os 0.5000 0.5000 0.6890

- SG = Pmmm, No. 47
- ΔE_f (eV/atom) = 0.36
- M_tot (Bohr magnetons per cell) = 0.00

Material: Cs2KInAg
Method: DFT, GGA-PBE
State: optimized geometry

Unit cell a=7.2592 b=7.2592 c=5.4792 alpha=90.00 beta=90.00 gamma=90.00
Fractional positions:
Cs 0.0000 0.5000 0.0000
Cs 0.5000 0.0000 0.0000
K 0.0000 0.0000 0.5000
In 0.5000 0.5000 0.5000
Ag 0.5000 0.5000 0.0000

- SG = P4/mmm, No. 123
- ΔE_f (eV/atom) = 0.07
- M_tot (Bohr magnetons per cell) = 0.00
- offset from the most stable computed form (meV/atom) = 0.0

Material: Ag2HgF8
Method: DFT, GGA-PBE
State: optimized geometry

Unit cell a=6.1101 b=6.1101 c=5.1876 alpha=91.85 beta=91.85 gamma=69.47
Fractional positions:
Ag 0.1327 0.1327 0.2517
Ag 0.8673 0.8673 0.7483
Hg 0.5000 0.5000 0.0000
F 0.0630 0.0630 0.7554
F 0.1520 0.5839 0.7571
F 0.3300 0.3300 0.2729
F 0.4161 0.8480 0.2429
F 0.5839 0.1520 0.7571
F 0.6700 0.6700 0.7271
F 0.8480 0.4161 0.2429
F 0.9370 0.9370 0.2446

- SG = C2/m, No. 12
- formation energy from raw total energies (eV per atom) = -1.128
- M_tot (Bohr magnetons per cell) = 0.00
- offset from the most stable computed form (meV/atom) = 0.0

Material: Th4SiP3
Method: DFT, GGA-PBE
State: optimized geometry

Unit cell a=5.9010 b=5.9010 c=5.9010 alpha=90.00 beta=90.00 gamma=90.00
Fractional positions:
Th 0.0000 0.0000 0.0000
Th 0.0000 0.5000 0.5000
Th 0.5000 0.0000 0.5000
Th 0.5000 0.5000 0.0000
Si 0.5000 0.5000 0.5000
P 0.0000 0.0000 0.5000
P 0.0000 0.5000 0.0000
P 0.5000 0.0000 0.0000

- SG = Pm-3m, No. 221
- formation energy from raw total energies (eV per atom) = -1.333
- M_tot (Bohr magnetons per cell) = 0.00

Material: Tm2SbS
Method: DFT, GGA-PBE
State: optimized geometry

Unit cell a=7.1202 b=7.1202 c=7.1202 alpha=33.34 beta=33.34 gamma=33.34
Fractional positions:
Tm 0.2411 0.2411 0.2411
Tm 0.7589 0.7589 0.7589
Sb 0.0000 0.0000 0.0000
S 0.5000 0.5000 0.5000

- SG = R-3m, No. 166
- formation energy from raw total energies (eV per atom) = -1.448
- M_tot (Bohr magnetons per cell) = 0.00
- offset from the most stable computed form (meV/atom) = 0.0

Material: KReSb2
Method: DFT, GGA-PBE
State: optimized geometry

Unit cell a=2.8527 b=5.2221 c=7.3097 alpha=90.00 beta=90.10 gamma=90.00
Fractional positions:
K 0.0000 0.0000 0.0000
Re 0.4953 0.5000 0.3349
Sb 0.4983 0.5000 0.7091
Sb 0.5084 0.0000 0.4544

- SG = Pm, No. 6
- formation energy from raw total energies (eV per atom) = 0.659
- M_tot (Bohr magnetons per cell) = 0.00
- offset from the most stable computed form (meV/atom) = 601.6

Material: YReSi
Method: DFT, GGA-PBE
State: optimized geometry

Unit cell a=4.2225 b=4.2225 c=3.7965 alpha=90.00 beta=90.00 gamma=120.00
Fractional positions:
Y 0.0000 0.0000 0.0000
Re 0.6667 0.3333 0.5000
Si 0.3333 0.6667 0.5000

- SG = P-6m2, No. 187
- formation energy from raw total energies (eV per atom) = -0.290
- M_tot (Bohr magnetons per cell) = 0.00

Material: Mg2HgSe
Method: DFT, GGA-PBE
State: optimized geometry

Unit cell a=3.7891 b=3.7891 c=7.6718 alpha=104.32 beta=104.32 gamma=60.07
Fractional positions:
Mg 0.2403 0.2403 0.2200
Mg 0.7597 0.7597 0.7800
Hg 0.0000 0.0000 0.5000
Se 0.5000 0.5000 0.0000

- SG = C2/m, No. 12
- formation energy from raw total energies (eV per atom) = -0.565
- M_tot (Bohr magnetons per cell) = 0.00
- offset from the most stable computed form (meV/atom) = 0.0

Material: AlCuNi4
Method: DFT, GGA-PBE
State: optimized geometry

Unit cell a=4.3525 b=5.6320 c=6.2103 alpha=111.09 beta=91.12 gamma=104.47
Fractional positions:
Al 0.0458 0.3626 0.2716
Al 0.9542 0.6374 0.7284
Cu 0.2136 0.8761 0.4578
Cu 0.7864 0.1239 0.5422
Ni 0.1284 0.1297 0.8703
Ni 0.2994 0.6264 0.0427
Ni 0.3642 0.3812 0.6227
Ni 0.4573 0.1196 0.2029
Ni 0.5427 0.8804 0.7971
Ni 0.6358 0.6188 0.3773
Ni 0.7006 0.3736 0.9573
Ni 0.8716 0.8703 0.1297

- SG = P-1, No. 2
- ΔE_f (eV/atom) = -0.23
- M_tot (Bohr magnetons per cell) = 0.00
- offset from the most stable computed form (meV/atom) = 0.0

Material: KMgZnF6
Method: DFT, GGA-PBE
State: optimized geometry

Unit cell a=7.2984 b=7.2984 c=7.2984 alpha=121.10 beta=118.54 gamma=90.33
Fractional positions:
K 0.3565 0.1065 0.2500
K 0.6435 0.8935 0.7500
Mg 0.0000 0.0000 0.5000
Mg 0.0000 0.5000 0.0000
Zn 0.0000 0.5000 0.5000
Zn 0.5000 0.5000 0.0000
F 0.0763 0.4266 0.2527
F 0.0763 0.8236 0.6497
F 0.0773 0.8273 0.2500
F 0.3192 0.5692 0.7500
F 0.3260 0.1764 0.7527
F 0.3260 0.5734 0.1497
F 0.6740 0.4266 0.8503
F 0.6740 0.8236 0.2473
F 0.6808 0.4308 0.2500
F 0.9227 0.1727 0.7500
F 0.9237 0.1764 0.3503
F 0.9237 0.5734 0.7473

- SG = Imma, No. 74
- formation energy from raw total energies (eV per atom) = -2.577
- M_tot (Bohr magnetons per cell) = 2.10

Material: LiSbPb2
Method: DFT, GGA-PBE
State: optimized geometry

Unit cell a=5.4035 b=5.4035 c=5.4035 alpha=60.00 beta=60.00 gamma=60.00
Fractional positions:
Li 0.0000 0.0000 0.0000
Sb 0.2500 0.2500 0.2500
Pb 0.5000 0.5000 0.5000
Pb 0.7500 0.7500 0.7500

- SG = F-43m, No. 216
- formation energy from raw total energies (eV per atom) = -0.030
- M_tot (Bohr magnetons per cell) = 0.00

Material: HfMg2Pd
Method: DFT, GGA-PBE
State: optimized geometry

Unit cell a=3.0971 b=3.0971 c=9.6071 alpha=99.74 beta=99.74 gamma=59.27
Fractional positions:
Hf 0.0000 0.0000 0.0000
Mg 0.5771 0.5771 0.7172
Mg 0.7699 0.7699 0.2823
Pd 0.1734 0.1734 0.4999

- SG = Cm, No. 8
- ΔE_f (eV/atom) = -0.18
- M_tot (Bohr magnetons per cell) = 0.00

Material: CsK2LaIr
Method: DFT, GGA-PBE
State: optimized geometry

Unit cell a=7.5827 b=7.5827 c=5.0305 alpha=90.00 beta=90.00 gamma=90.00
Fractional positions:
Cs 0.0000 0.0000 0.0000
K 0.0000 0.5000 0.5000
K 0.5000 0.0000 0.5000
La 0.5000 0.5000 0.5000
Ir 0.5000 0.5000 0.0000

- SG = P4/mmm, No. 123
- ΔE_f (eV/atom) = 0.44
- M_tot (Bohr magnetons per cell) = 0.00

Material: Dy2HoPt
Method: DFT, GGA-PBE
State: optimized geometry

Unit cell a=7.0211 b=9.5828 c=6.4840 alpha=90.00 beta=90.00 gamma=90.00
Fractional positions:
Dy 0.1810 0.0607 0.1790
Dy 0.1810 0.4393 0.1790
Dy 0.3190 0.5607 0.6790
Dy 0.3190 0.9393 0.6790
Dy 0.6810 0.0607 0.3210
Dy 0.6810 0.4393 0.3210
Dy 0.8190 0.5607 0.8210
Dy 0.8190 0.9393 0.8210
Ho 0.0265 0.2500 0.6318
Ho 0.4735 0.7500 0.1318
Ho 0.5265 0.2500 0.8682
Ho 0.9735 0.7500 0.3682
Pt 0.1113 0.7500 0.9508
Pt 0.3887 0.2500 0.4508
Pt 0.6113 0.7500 0.5492
Pt 0.8887 0.2500 0.0492

- SG = Pnma, No. 62
- ΔE_f (eV/atom) = -0.72
- M_tot (Bohr magnetons per cell) = 0.00
- offset from the most stable computed form (meV/atom) = 0.0

Material: BeSbAs2
Method: DFT, GGA-PBE
State: optimized geometry

Unit cell a=7.0354 b=7.0354 c=7.0354 alpha=31.84 beta=31.84 gamma=31.84
Fractional positions:
Be 0.0000 0.0000 0.0000
Sb 0.1945 0.1945 0.1945
As 0.4485 0.4485 0.4485
As 0.6635 0.6635 0.6635

- SG = R3m, No. 160
- formation energy from raw total energies (eV per atom) = 0.151
- M_tot (Bohr magnetons per cell) = 0.00
- offset from the most stable computed form (meV/atom) = 123.1

Material: PmTaTe2
Method: DFT, GGA-PBE
State: optimized geometry

Unit cell a=10.3335 b=10.3335 c=10.3335 alpha=20.30 beta=20.30 gamma=20.30
Fractional positions:
Pm 0.0000 0.0000 0.0000
Ta 0.5000 0.5000 0.5000
Te 0.1052 0.1052 0.1052
Te 0.8948 0.8948 0.8948

- SG = R-3m, No. 166
- formation energy from raw total energies (eV per atom) = -0.208
- M_tot (Bohr magnetons per cell) = 0.45

Material: AgMo2Ru
Method: DFT, GGA-PBE
State: optimized geometry

Unit cell a=5.7679 b=5.7679 c=5.7679 alpha=102.36 beta=102.36 gamma=124.88
Fractional positions:
Ag 0.0000 0.0000 0.0000
Ag 0.7500 0.2500 0.5000
Mo 0.1656 0.6250 0.0406
Mo 0.3750 0.4156 0.5406
Mo 0.5844 0.1250 0.9594
Mo 0.8750 0.8344 0.4594
Ru 0.2500 0.7500 0.5000
Ru 0.5000 0.5000 0.0000

- SG = I-42d, No. 122
- ΔE_f (eV/atom) = 0.81
- M_tot (Bohr magnetons per cell) = 0.00
- offset from the most stable computed form (meV/atom) = 528.3

Material: Nb2CdNiH
Method: DFT, GGA-PBE
State: optimized geometry

Unit cell a=4.1276 b=4.1276 c=4.0673 alpha=90.00 beta=90.00 gamma=90.00
Fractional positions:
Nb 0.0000 0.5000 0.0000
Nb 0.5000 0.0000 0.0000
Cd 0.0000 0.0000 0.5000
Ni 0.5000 0.5000 0.5000
H 0.5000 0.5000 0.0000

- SG = P4/mmm, No. 123
- M_tot (Bohr magnetons per cell) = 0.00
- offset from the most stable computed form (meV/atom) = 0.0

Material: Ho8Zn3Te4Se
Method: DFT, GGA-PBE
State: optimized geometry

Unit cell a=8.6389 b=8.6389 c=8.6389 alpha=57.48 beta=57.48 gamma=57.48
Fractional positions:
Ho 0.2404 0.7439 0.7439
Ho 0.2444 0.2444 0.2444
Ho 0.2561 0.2561 0.7596
Ho 0.2561 0.7596 0.2561
Ho 0.7439 0.2404 0.7439
Ho 0.7439 0.7439 0.2404
Ho 0.7556 0.7556 0.7556
Ho 0.7596 0.2561 0.2561
Zn 0.0000 0.0000 0.5000
Zn 0.0000 0.5000 0.0000
Zn 0.5000 0.0000 0.0000
Te 0.0000 0.0000 0.0000
Te 0.0000 0.5000 0.5000
Te 0.5000 0.0000 0.5000
Te 0.5000 0.5000 0.0000
Se 0.5000 0.5000 0.5000

- SG = R-3m, No. 166
- formation energy from raw total energies (eV per atom) = -0.940
- M_tot (Bohr magnetons per cell) = 0.00